# 1
PPt2Rh SCAN single point on PBEsol structure; VASP energy = -46.00 eV per atom; size of the total moment = 1.33 μB/f.u.; D(E_F) = 3.1 states/eV per cell; energy relative to the elements = 135 meV/atom
1.0
-1.896 1.896 3.958
1.896 -1.896 3.958
1.896 1.896 -3.958
P Pt Rh
1 2 1
Direct
0.000 0.000 0.000
0.250 0.750 0.500
0.750 0.250 0.500
0.500 0.500 0.000


# 2
PPtRhS2 SCAN single point on PBEsol structure; energy relative to the elements, uncorrected = 0.9454 eV/atom; VASP energy = -25.78 eV per atom; size of the total moment = 0.00 μB/f.u.; D(E_F) = 5.5 states/eV per cell
1.0
4.550 0.000 0.000
0.000 4.550 0.000
0.000 0.000 4.360
P Pt Rh S
1 1 1 2
Direct
0.000 0.000 0.000
0.500 0.500 0.000
0.000 0.000 0.500
0.000 0.500 0.500
0.500 0.000 0.500


# 3
PRuPt2 SCAN single point on PBEsol structure; VASP energy = -46.16 eV per atom; size of the total moment = 0.00 μB/f.u.; D(E_F) = 4.9 states/eV per cell; energy relative to the elements = 240 meV/atom
1.0
0.000 3.049 3.049
3.049 0.000 3.049
3.049 3.049 0.000
P Ru Pt
1 1 2
Direct
0.000 0.000 0.000
0.750 0.750 0.750
0.250 0.250 0.250
0.500 0.500 0.500


# 4
P2RuPt SCAN single point on PBEsol structure; VASP energy = -31.28 eV per atom; size of the total moment = 0.00 μB/f.u.; D(E_F) = 3.1 states/eV per cell; energy relative to the elements = 176 meV/atom; distance to the lowest polymorph of the same formula = 36.0 kJ per mole of atoms
1.0
-1.774 1.774 4.301
1.774 -1.774 4.301
1.774 1.774 -4.301
P Ru Pt
2 1 1
Direct
0.000 0.000 0.000
0.750 0.250 0.500
0.250 0.750 0.500
0.500 0.500 0.000


# 5
PRuPt SCAN single point on PBEsol structure; VASP energy = -39.06 eV per atom; size of the total moment = 0.00 μB/f.u.; D(E_F) = 0.9 states/eV per cell; energy relative to the elements = -589 meV/atom; distance to the lowest polymorph of the same formula = 0.0 kJ per mole of atoms
1.0
0.000 2.771 2.771
2.771 0.000 2.771
2.771 2.771 0.000
P Ru Pt
1 1 1
Direct
0.000 0.000 0.000
0.750 0.750 0.750
0.250 0.250 0.250


# 6
P2RuPt SCAN single point on PBEsol structure; VASP energy = -31.65 eV per atom; size of the total moment = 0.00 μB/f.u.; D(E_F) = 1.6 states/eV per cell; energy relative to the elements = -197 meV/atom; distance to the lowest polymorph of the same formula = 0.0 kJ per mole of atoms
1.0
3.907 0.000 0.000
0.000 3.783 0.000
-0.199 0.000 4.087
P Ru Pt
2 1 1
Direct
0.173 0.000 0.304
0.827 0.000 0.696
0.000 0.500 0.000
0.500 0.500 0.500


# 7
PRuPt SCAN single point on PBEsol structure; VASP energy = -38.29 eV per atom; size of the total moment = 0.00 μB/f.u.; D(E_F) = 1.5 states/eV per cell; energy relative to the elements = 182 meV/atom; distance to the lowest polymorph of the same formula = 74.4 kJ per mole of atoms
1.0
0.000 2.419 5.963
1.475 0.000 5.963
1.475 2.419 0.000
P Ru Pt
1 1 1
Direct
0.000 0.000 0.000
0.360 0.360 0.640
0.660 0.660 0.340


# 8
PRuPt2 SCAN single point on PBEsol structure; VASP energy = -46.35 eV per atom; size of the total moment = 0.00 μB/f.u.; D(E_F) = 3.9 states/eV per cell; energy relative to the elements = 49 meV/atom
1.0
3.123 0.000 0.000
0.000 3.799 0.000
-1.410 0.000 4.859
P Ru Pt
1 1 2
Direct
0.000 0.000 0.000
0.000 0.000 0.500
0.370 0.500 0.232
0.630 0.500 0.768


# 9
PRuPt SCAN single point on PBEsol structure; VASP energy = -38.62 eV per atom; size of the total moment = 0.00 μB/f.u.; D(E_F) = 1.8 states/eV per cell; energy relative to the elements = -145 meV/atom; distance to the lowest polymorph of the same formula = 42.9 kJ per mole of atoms
1.0
2.852 0.000 0.000
-1.426 2.470 0.000
0.000 0.000 5.843
P Ru Pt
1 1 1
Direct
0.000 0.000 0.000
0.667 0.333 0.279
0.333 0.667 0.674


# 10
P2RuPt SCAN single point on PBEsol structure; VASP energy = -31.58 eV per atom; size of the total moment = 0.00 μB/f.u.; D(E_F) = 1.5 states/eV per cell; energy relative to the elements = -129 meV/atom; distance to the lowest polymorph of the same formula = 6.5 kJ per mole of atoms
1.0
3.766 -1.477 0.000
3.766 1.477 0.000
-1.037 0.000 4.842
P Ru Pt
2 1 1
Direct
0.241 0.241 0.231
0.759 0.759 0.769
0.500 0.500 0.000
0.000 0.000 0.500


# 11
P2PtS2 SCAN single point on PBEsol structure; energy relative to the elements, uncorrected = 1.2414 eV/atom; VASP energy = -20.81 eV per atom; size of the total moment = 0.00 μB/f.u.; D(E_F) = 2.9 states/eV per cell
1.0
4.386 0.000 0.000
0.000 4.386 0.000
0.000 0.000 4.252
P Pt S
2 1 2
Direct
0.000 0.500 0.000
0.500 0.000 0.000
0.000 0.000 0.500
0.500 0.500 0.000
0.500 0.500 0.500


# 12
SbP2PtS SCAN single point on PBEsol structure; energy relative to the elements, uncorrected = 1.6217 eV/atom; VASP energy = -25.95 eV per atom; size of the total moment = 0.00 μB/f.u.; D(E_F) = 4.5 states/eV per cell
1.0
4.922 0.000 0.000
0.000 4.922 0.000
0.000 0.000 4.716
Sb P Pt S
1 2 1 1
Direct
0.000 0.000 0.000
0.000 0.500 0.000
0.500 0.000 0.000
0.500 0.500 0.500
0.000 0.000 0.500


# 13
ScP2PtS SCAN single point on PBEsol structure; energy relative to the elements, uncorrected = 0.1105 eV/atom; VASP energy = -22.86 eV per atom; size of the total moment = 0.00 μB/f.u.; D(E_F) = 3.8 states/eV per cell
1.0
4.546 0.000 0.000
0.000 4.546 0.000
0.000 0.000 4.860
Sc P Pt S
1 2 1 1
Direct
0.000 0.000 0.000
0.000 0.500 0.500
0.500 0.000 0.500
0.500 0.500 0.500
0.500 0.500 0.000


# 14
SrPPtS2 SCAN single point on PBEsol structure; energy relative to the elements, uncorrected = 1.4726 eV/atom; VASP energy = -22.95 eV per atom; size of the total moment = 4.17 μB/f.u.; D(E_F) = 7.0 states/eV per cell
1.0
5.232 0.000 0.000
0.000 5.232 0.000
0.000 0.000 5.321
Sr P Pt S
1 1 1 2
Direct
0.000 0.000 0.000
0.000 0.000 0.500
0.500 0.500 0.500
0.000 0.500 0.000
0.500 0.000 0.000


# 15
TaP2PtS SCAN single point on PBEsol structure; energy relative to the elements, uncorrected = 0.7517 eV/atom; VASP energy = -32.69 eV per atom; size of the total moment = 0.00 μB/f.u.; D(E_F) = 3.8 states/eV per cell
1.0
4.758 0.000 0.000
0.000 4.758 0.000
0.000 0.000 4.536
Ta P Pt S
1 2 1 1
Direct
0.000 0.000 0.000
0.000 0.500 0.000
0.500 0.000 0.000
0.500 0.500 0.500
0.000 0.000 0.500


# 16
SbPPt2 SCAN single point on PBEsol structure; energy relative to the elements, uncorrected = -0.2100 eV/atom; VASP energy = -47.22 eV per atom; size of the total moment = 0.00 μB/f.u.; D(E_F) = 2.1 states/eV per cell; distance to the lowest polymorph of the same formula = 0.0 kJ per mole of atoms
1.0
2.719 -3.450 0.000
2.719 3.450 0.000
0.000 0.000 3.784
Sb P Pt
1 1 2
Direct
0.000 0.000 0.000
0.500 0.500 0.000
0.288 0.712 0.500
0.712 0.288 0.500


# 17
SbPPt2 SCAN single point on PBEsol structure; energy relative to the elements, uncorrected = -0.0904 eV/atom; VASP energy = -47.10 eV per atom; size of the total moment = 0.00 μB/f.u.; D(E_F) = 2.2 states/eV per cell; distance to the lowest polymorph of the same formula = 11.5 kJ per mole of atoms
1.0
0.000 3.641 3.663
2.721 0.000 3.663
2.721 3.641 0.000
Sb P Pt
1 1 2
Direct
0.000 0.000 0.000
0.500 0.500 0.500
0.000 0.500 0.500
0.500 0.000 0.000


# 18
SbP2Pt SCAN single point on PBEsol structure; energy relative to the elements, uncorrected = 0.5599 eV/atom; VASP energy = -31.50 eV per atom; size of the total moment = 0.00 μB/f.u.; D(E_F) = 1.9 states/eV per cell
1.0
0.000 3.232 3.232
3.232 0.000 3.232
3.232 3.232 0.000
Sb P Pt
1 2 1
Direct
0.000 0.000 0.000
0.250 0.250 0.250
0.500 0.500 0.500
0.750 0.750 0.750


# 19
Sb2PPt SCAN single point on PBEsol structure; energy relative to the elements, uncorrected = 0.2936 eV/atom; VASP energy = -38.48 eV per atom; size of the total moment = 0.00 μB/f.u.; D(E_F) = 1.6 states/eV per cell
1.0
3.318 0.000 0.000
0.000 3.318 0.000
0.000 0.000 7.063
Sb P Pt
2 1 1
Direct
0.000 0.000 0.243
0.000 0.000 0.757
0.500 0.500 0.500
0.500 0.500 0.000


# 20
SbPPt2 SCAN single point on PBEsol structure; energy relative to the elements, uncorrected = 0.2361 eV/atom; VASP energy = -46.78 eV per atom; size of the total moment = 0.00 μB/f.u.; D(E_F) = 2.3 states/eV per cell; distance to the lowest polymorph of the same formula = 43.0 kJ per mole of atoms
1.0
-1.976 1.976 4.242
1.976 -1.976 4.242
1.976 1.976 -4.242
Sb P Pt
1 1 2
Direct
0.000 0.000 0.000
0.750 0.250 0.500
0.250 0.750 0.500
0.500 0.500 0.000